(1)
DFT (PBE) results for crystalline Pr2HoP3 at its relaxed geometry.

```
data_Pr2HoP3
_chemical_formula_sum 'Pr2 Ho1 P3'
_cell_length_a 4.1312
_cell_length_b 4.1312
_cell_length_c 10.1156
_cell_angle_alpha 90.00
_cell_angle_beta 90.00
_cell_angle_gamma 120.00
_symmetry_space_group_name_H-M 'P -3 m 1'
_symmetry_Int_Tables_number 164
_symmetry_space_group_name_Hall '-P 3 2"'
loop_
_atom_site_label
_atom_site_type_symbol
_atom_site_fract_x
_atom_site_fract_y
_atom_site_fract_z
Pr1 Pr 0.3333 0.6667 0.3278
Ho1 Ho 0.0000 0.0000 0.0000
P1 P 0.0000 0.0000 0.5000
P2 P 0.3333 0.6667 0.8446
```

Summary:
* total DFT energy (no corrections): -6.5982 eV per atom

=====

(2)
DFT (PBE) results for crystalline HfMgIn at its relaxed geometry.

```
data_HfMgIn
_chemical_formula_sum 'Hf4 Mg4 In4'
_cell_length_a 6.829
_cell_length_b 6.829
_cell_length_c 6.829
_cell_angle_alpha 90.00
_cell_angle_beta 90.00
_cell_angle_gamma 90.00
_symmetry_space_group_name_H-M 'F -4 3 m'
_symmetry_Int_Tables_number 216
_symmetry_space_group_name_Hall 'F -4 2 3'
loop_
_atom_site_label
_atom_site_type_symbol
_atom_site_fract_x
_atom_site_fract_y
_atom_site_fract_z
Hf1 Hf 0.000 0.000 0.000
Mg1 Mg 0.250 0.250 0.250
In1 In 0.250 0.250 0.750
```

Summary:
* total DFT energy (no corrections): -4.2261 eV per atom

=====

(3)
DFT (PBE) results for crystalline Rb2Nd2O5 at its relaxed geometry.

```
data_Rb2Nd2O5
_chemical_formula_sum 'Rb2 Nd2 O5'
_cell_length_a 4.479
_cell_length_b 4.479
_cell_length_c 9.336
_cell_angle_alpha 90.00
_cell_angle_beta 90.00
_cell_angle_gamma 90.00
_symmetry_space_group_name_H-M 'P 4/m m m'
_symmetry_Int_Tables_number 123
_symmetry_space_group_name_Hall '-P 4 2'
loop_
_atom_site_label
_atom_site_type_symbol
_atom_site_fract_x
_atom_site_fract_y
_atom_site_fract_z
Rb1 Rb 0.000 0.000 0.000
Rb2 Rb 0.000 0.000 0.500
Nd1 Nd 0.500 0.500 0.236
O1 O 0.000 0.500 0.292
O2 O 0.500 0.500 0.000
```

Summary:
* E above lowest polymorph: 0.000 eV/atom

=====

(4)
DFT (PBE) results for crystalline LiMgCu2 at its relaxed geometry.

```
data_LiMgCu2
_chemical_formula_sum 'Li4 Mg4 Cu8'
_cell_length_a 6.041
_cell_length_b 6.041
_cell_length_c 6.041
_cell_angle_alpha 90.00
_cell_angle_beta 90.00
_cell_angle_gamma 90.00
_symmetry_space_group_name_H-M 'P m -3 m'
_symmetry_Int_Tables_number 221
_symmetry_space_group_name_Hall '-P 4 2 3'
loop_
_atom_site_label
_atom_site_type_symbol
_atom_site_fract_x
_atom_site_fract_y
_atom_site_fract_z
Li1 Li 0.000 0.000 0.000
Li2 Li 0.000 0.000 0.500
Mg1 Mg 0.000 0.500 0.500
Mg2 Mg 0.500 0.500 0.500
Cu1 Cu 0.234 0.234 0.234
```

Summary:
* total DFT energy (no corrections): -2.7639 eV per atom